1.
Density functional theory data (PBE) for a relaxed structure of LuPuCo.

abc: 6.445 6.445 6.445
angles: 150.55 150.55 42.13
Fractional positions:
1 Lu 0.000 0.000 0.000
2 Pu 0.270 0.270 0.000
3 Co 0.632 0.632 0.000

The total energy comes out at -26.0 eV per formula unit. Its calculated formation energy is -12.1 meV/atom. The value obtained for the energy above the most stable polymorph in this dataset is 0.000 eV per atom.

---

2.
Density functional theory data (PBE) for a relaxed structure of PaZn2Rh2.

abc: 4.703 4.703 4.870
angles: 104.47 104.47 58.11
Fractional positions:
1 Pa 0.000 0.000 0.000
2 Zn 0.264 0.264 0.636
3 Zn 0.736 0.736 0.364
4 Rh 0.388 0.388 0.196
5 Rh 0.612 0.612 0.804

The total energy comes out at -29.3 eV per formula unit. Its calculated formation energy is -511.9 meV/atom. The value obtained for the energy above the most stable polymorph in this dataset is 0.000 eV per atom.